[1]
Density functional theory data (PBE-GGA) for an optimized crystal structure of ScTcPO.

Unit cell a=4.220 b=4.220 c=6.182 alpha=90.00 beta=90.00 gamma=90.00
Element x y z (fractional)
O 0.750 0.250 0.000
O 0.250 0.750 0.000
P 0.250 0.250 0.248
P 0.750 0.750 0.752
Sc 0.750 0.250 0.500
Sc 0.250 0.750 0.500
Tc 0.750 0.750 0.135
Tc 0.250 0.250 0.865

Values from the calculation:
**Polymorph energy (0 for the lowest one)**: 1394 meV/atom
**SG**: P4/nmm


[2]
Density functional theory data (PBE-GGA) for an optimized crystal structure of KLuSiS3.

Unit cell a=7.063 b=7.063 c=10.234 alpha=90.00 beta=90.00 gamma=144.84
Element x y z (fractional)
K 0.738 0.262 0.250
K 0.262 0.738 0.750
Lu 0.000 0.000 0.000
Lu 0.000 0.000 0.500
S 0.377 0.623 0.076
S 0.047 0.953 0.250
S 0.377 0.623 0.424
S 0.623 0.377 0.576
S 0.953 0.047 0.750
S 0.623 0.377 0.924
Si 0.481 0.519 0.250
Si 0.519 0.481 0.750

Values from the calculation:
**E_tot**: -59.7 eV for the cell shown
**SG**: Cmcm


[3]
Density functional theory data (PBE-GGA) for an optimized crystal structure of Cu2MoPt.

Unit cell a=4.296 b=4.296 c=4.296 alpha=60.00 beta=60.00 gamma=60.00
Element x y z (fractional)
Cu 0.250 0.250 0.250
Cu 0.500 0.500 0.500
Mo 0.000 0.000 0.000
Pt 0.750 0.750 0.750

Values from the calculation:
**SG**: F-43m
**ΔE_f**: 25 kJ/mol of formula units


[4]
Density functional theory data (PBE-GGA) for an optimized crystal structure of ZrHgO3.

Unit cell a=4.115 b=4.115 c=4.283 alpha=90.00 beta=90.00 gamma=90.00
Element x y z (fractional)
Hg 0.000 0.000 0.959
O 0.500 0.500 0.095
O 0.500 0.000 0.643
O 0.000 0.500 0.643
Zr 0.500 0.500 0.560

Values from the calculation:
**E_tot**: -32.9 eV for the cell shown
**SG**: P4mm


[5]
Density functional theory data (PBE-GGA) for an optimized crystal structure of Pr3NdEr2Te2Pd.

Unit cell a=4.067 b=8.633 c=8.633 alpha=120.55 beta=90.00 gamma=90.00
Element x y z (fractional)
Er 0.500 0.759 0.000
Er 0.500 0.000 0.759
Nd 0.500 0.246 0.246
Pd 0.000 0.986 0.986
Pr 0.000 0.409 0.001
Pr 0.000 0.001 0.409
Pr 0.000 0.594 0.594
Te 0.500 0.671 0.333
Te 0.500 0.333 0.671

Values from the calculation:
**E_tot**: -47.4 eV for the cell shown
**SG**: Amm2


[6]
Density functional theory data (PBE-GGA) for an optimized crystal structure of YSi2IrOs.

Unit cell a=5.694 b=5.694 c=5.694 alpha=137.33 beta=137.33 gamma=61.93
Element x y z (fractional)
Ir 0.000 0.000 0.000
Os 0.500 0.500 0.000
Si 0.124 0.624 0.500
Si 0.376 0.876 0.500
Y 0.750 0.250 0.500

Values from the calculation:
**E_tot**: -42.0 eV for the cell shown
**SG**: I-4m2


[7]
Density functional theory data (PBE-GGA) for an optimized crystal structure of Zn2Ag.

Unit cell a=4.957 b=4.957 c=4.410 alpha=90.00 beta=90.00 gamma=60.00
Element x y z (fractional)
Ag 0.000 0.000 0.000
Ag 0.333 0.333 0.000
Zn 0.667 0.667 0.000
Zn 0.991 0.343 0.500
Zn 0.343 0.667 0.500
Zn 0.667 0.991 0.500

Values from the calculation:
**SG**: P-62m
**ΔE_f**: -14 kJ/mol of formula units


[8]
Density functional theory data (PBE-GGA) for an optimized crystal structure of OsI2.

Unit cell a=6.583 b=6.583 c=6.583 alpha=60.00 beta=60.00 gamma=60.00
Element x y z (fractional)
I 0.625 0.625 0.125
I 0.625 0.125 0.625
I 0.125 0.625 0.625
I 0.625 0.625 0.625
Os 0.000 0.000 0.000
Os 0.250 0.250 0.250

Values from the calculation:
**E_tot**: -12.8 eV for the cell shown
**SG**: Fd-3m


For reference, ρ by record: 5.73, 3.82, 12.39, 7.78, 8.04, 10.45, 8.45, 7.31 g/cm3.